Here is crystalline ReNiO2 at its relaxed geometry from Alexandria. Energies are from PBE with a Hubbard U.

Output
The volume is 48.5 Å³/f.u. Its energy above the most stable polymorph in this dataset is 0.6995 eV per atom. For the magnetic moment, the calculation gives 0.153 μB per atom.

abc: 5.018 5.018 5.236
angles: 61.37 61.37 90.00
Last column: magnetic moment on the atom in μB.
Atoms (fractional coordinates):
Re  0.000  0.000  0.000  -0.38
Re  0.750  0.250  0.500  -0.38
O  0.875  0.881  0.750  0.00
O  0.119  0.625  0.250  0.00
O  0.631  0.125  0.250  0.00
O  0.375  0.369  0.750  0.00
Ni  0.250  0.750  0.500  1.02
Ni  0.500  0.500  0.000  1.02